[1]
This record from Alexandria via LeMat-Bulk describes a relaxed structure of Lu5Ge10Rh4. The functional is PBE.

N(E_F): 0.45 states/eV/atom
ΔH_f (0 K): -765 meV/atom
E_tot: -5.933 eV per atom
Volume: 18.75 A^3/atom

```
Lu5Ge10Rh4
1.0
12.9558 0.0000 0.0000
0.0000 12.9558 0.0000
0.0000 0.0000 4.2452
Ge Lu Rh
20 10 8
Direct
0.5666 0.0666 0.0000
0.4334 0.9334 0.0000
0.0666 0.4334 0.0000
0.9334 0.5666 0.0000
0.6629 0.7002 0.0000
0.3371 0.2998 0.0000
0.1629 0.7998 0.0000
0.8371 0.2002 0.0000
0.2998 0.6629 0.0000
0.7002 0.3371 0.0000
0.2002 0.1629 0.0000
0.7998 0.8371 0.0000
0.6557 0.5048 0.5000
0.3443 0.4952 0.5000
0.1557 0.9952 0.5000
0.8443 0.0048 0.5000
0.4952 0.6557 0.5000
0.5048 0.3443 0.5000
0.0048 0.1557 0.5000
0.9952 0.8443 0.5000
0.5000 0.5000 0.0000
0.0000 0.0000 0.0000
0.6740 0.1740 0.5000
0.3260 0.8260 0.5000
0.1740 0.3260 0.5000
0.8260 0.6740 0.5000
0.8868 0.3868 0.5000
0.1132 0.6132 0.5000
0.3868 0.1132 0.5000
0.6132 0.8868 0.5000
0.7464 0.5206 0.0000
0.2536 0.4794 0.0000
0.2464 0.9794 0.0000
0.7536 0.0206 0.0000
0.4794 0.7464 0.0000
0.5206 0.2536 0.0000
0.0206 0.2464 0.0000
0.9794 0.7536 0.0000
```

[2]
This record from Alexandria via LeMat-Bulk describes a relaxed structure of UBeRe2. The functional is PBE.

N(E_F): 1.03 states/eV/atom
ΔH_f (0 K): 531 meV/atom
E_tot: -9.447 eV per atom
Volume: 15.55 A^3/atom

```
UBeRe2
1.0
-1.2189 -1.1150 -2.3231
0.4396 -2.7365 -0.6662
-7.3098 -3.5860 3.8075
Re U Be
2 1 1
Direct
0.5972 0.5972 0.2084
0.4028 0.4028 0.7916
0.5000 0.5000 0.5000
0.0000 0.0000 0.0000
```

[3]
This record from Alexandria via LeMat-Bulk describes a relaxed structure of Pm7PrSc2. The functional is PBE.

N(E_F): 1.44 states/eV/atom
ΔH_f (0 K): 59 meV/atom
E_tot: -5.010 eV per atom
Volume: 32.53 A^3/atom

```
Pm7PrSc2
1.0
-2.6164 0.1035 2.3846
-9.0702 2.2744 -7.4295
-0.2835 -8.2059 2.6731
Pm Pr Sc
7 1 2
Direct
0.0881 0.6241 0.1990
0.9119 0.3759 0.8010
0.6945 0.1977 0.4140
0.3055 0.8023 0.5860
0.2967 0.2919 0.1142
0.7033 0.7081 0.8858
0.5000 0.5000 0.5000
0.0000 0.0000 0.0000
0.3802 0.9261 0.3126
0.6198 0.0739 0.6874
```